Computed, not measured: CsRbSr2Pt after structural relaxation at the GGA-PBE level of DFT.

Properties
offset from the most stable computed form: 0 meV/atom
formation enthalpy at 0 K: -19.2 kJ per mole of atoms

Cell lengths 6.0632, 6.0632, 7.2288 Å; angles 90.00, 90.00, 90.00 degrees
With the nearest neighbours (Å) after each atom.
Element x y z (fractional)
Rb  0.5000  0.5000  0.5000  4 Cs 4.29, 8 Sr 4.72
Pt  0.0000  0.0000  0.0000  4 Sr 3.03
Cs  0.0000  0.0000  0.5000  2 Pt 3.61
Sr  0.5000  0.0000  0.0000  2 Pt 3.03
Sr  0.0000  0.5000  0.0000  2 Pt 3.03